## LaNdSnPb (PBE)

Data for a relaxed LaNdSnPb crystal.

## Properties
* ΔE to the lowest computed polymorph: 140 meV per atom
* magnetization: 0.00 μB/atom
* final energy: -4.894 eV per atom
* formation energy: -0.54 eV/atom

a b c (Å): 7.912 7.912 7.912
angles (deg): 90.00 90.00 90.00
Space group F-43m (No. 216)
Inequivalent atoms, fractional coordinates:
La  0.000  0.000  0.000 (multiplicity 4)
Nd  0.000  0.000  0.500 (multiplicity 4)
Sn  0.250  0.250  0.750 (multiplicity 4)
Pb  0.250  0.250  0.250 (multiplicity 4)

## Cs3Rb4Hg4 (PBE)

Data for a relaxed Cs3Rb4Hg4 crystal.

## Properties
* magnetization: 0.00 μB/atom
* final energy: -0.860 eV per atom
* formation energy: -0.17 eV/atom

a b c (Å): 5.667 11.268 20.185
angles (deg): 90.00 90.00 90.00
Space group Immm (No. 71)
Inequivalent atoms, fractional coordinates:
Cs  0.000  0.000  0.000 (multiplicity 2)
Cs  0.000  0.500  0.115 (multiplicity 4)
Rb  0.000  0.304  0.333 (multiplicity 8)
Hg  0.000  0.000  0.236 (multiplicity 4)
Hg  0.000  0.141  0.500 (multiplicity 4)

Asked for DOS(E_F) across the records above, the calculation gives 1.472; 0.483 states/eV per atom in order.